1.
Cd3HgPb: relaxed, PBEsol.

Calculated values
Space group: Pm-3m (221)

a = 5.2601 Å, b = 5.2601 Å, c = 5.2601 Å
α = 90.00°, β = 90.00°, γ = 90.00°
Sites, in units of the cell vectors:
Cd 0.5000 0.0000 0.0000
Cd 0.0000 0.5000 0.0000
Cd 0.0000 0.0000 0.5000
Pb 0.5000 0.5000 0.5000
Hg 0.0000 0.0000 0.0000

2.
CdHgPb2: relaxed, PBEsol.

Calculated values
Space group: Imm2 (44)

a = 3.5288 Å, b = 5.4865 Å, c = 6.2806 Å
α = 115.90°, β = 106.32°, γ = 90.00°
Sites, in units of the cell vectors:
Pb 0.7638 0.2638 0.5277
Pb 0.9875 0.9875 0.9749
Cd 0.5140 0.5140 0.0281
Hg 0.2347 0.7347 0.4693

3.
CdHg2Pb2: relaxed, PBEsol.

Calculated values
Space group: P4/mbm (127)

a = 4.0731 Å, b = 8.1822 Å, c = 8.1822 Å
α = 90.00°, β = 90.00°, γ = 90.00°
Sites, in units of the cell vectors:
Cd 0.0000 0.5000 0.5000
Cd 0.0000 0.0000 0.0000
Pb 0.0000 0.1608 0.3392
Pb 0.0000 0.8392 0.6608
Pb 0.0000 0.6608 0.1608
Pb 0.0000 0.3392 0.8392
Hg 0.5000 0.3584 0.1416
Hg 0.5000 0.1416 0.6416
Hg 0.5000 0.8584 0.3584
Hg 0.5000 0.6416 0.8584

4.
CdHgPb2: relaxed, PBEsol.

Calculated values
Space group: Fm-3m (225)

a = 5.2784 Å, b = 5.2784 Å, c = 5.2784 Å
α = 60.00°, β = 60.00°, γ = 60.00°
Sites, in units of the cell vectors:
Pb 0.2500 0.2500 0.2500
Pb 0.7500 0.7500 0.7500
Hg 0.5000 0.5000 0.5000
Cd 0.0000 0.0000 0.0000

5.
CdHg2Pd2: relaxed, PBEsol.

Calculated values
Space group: P4/mbm (127)

a = 3.7300 Å, b = 7.0518 Å, c = 7.0518 Å
α = 90.00°, β = 90.00°, γ = 90.00°
Sites, in units of the cell vectors:
Pd 0.0000 0.8614 0.6386
Pd 0.0000 0.3614 0.8614
Pd 0.0000 0.6386 0.1386
Pd 0.0000 0.1386 0.3614
Hg 0.5000 0.8395 0.3395
Hg 0.5000 0.6605 0.8395
Hg 0.5000 0.1605 0.6605
Hg 0.5000 0.3395 0.1605
Cd 0.0000 0.5000 0.5000
Cd 0.0000 0.0000 0.0000

6.
CdHgPd2: relaxed, PBEsol.

Calculated values
Space group: Fm-3m (225)

a = 4.5608 Å, b = 4.5608 Å, c = 4.5608 Å
α = 60.00°, β = 60.00°, γ = 60.00°
Sites, in units of the cell vectors:
Hg 0.0000 0.0000 0.0000
Cd 0.5000 0.5000 0.5000
Pd 0.7500 0.7500 0.7500
Pd 0.2500 0.2500 0.2500

7.
Pm2CdHg: relaxed, PBEsol.

Calculated values
Space group: Fm-3m (225)

a = 5.2968 Å, b = 5.2968 Å, c = 5.2968 Å
α = 60.00°, β = 60.00°, γ = 60.00°
Sites, in units of the cell vectors:
Pm 0.7500 0.7500 0.7500
Pm 0.2500 0.2500 0.2500
Hg 0.0000 0.0000 0.0000
Cd 0.5000 0.5000 0.5000

8.
Pr2CdHg: relaxed, PBEsol.

Calculated values
Space group: Fm-3m (225)

a = 5.3678 Å, b = 5.3678 Å, c = 5.3678 Å
α = 60.00°, β = 60.00°, γ = 60.00°
Sites, in units of the cell vectors:
Hg 0.0000 0.0000 0.0000
Pr 0.2500 0.2500 0.2500
Pr 0.7500 0.7500 0.7500
Cd 0.5000 0.5000 0.5000

9.
CdHgPt: relaxed, PBEsol.

Calculated values
Space group: P3m1 (156)

a = 2.9224 Å, b = 4.6318 Å, c = 4.6318 Å
α = 120.00°, β = 90.00°, γ = 90.00°
Sites, in units of the cell vectors:
Cd 0.9989 0.0000 0.0000
Pt 0.3802 0.6667 0.3333
Hg 0.6210 0.3333 0.6667

10.
Cd4HgPt: relaxed, PBEsol.

Calculated values
Space group: F-43m (216)

a = 5.5024 Å, b = 5.5024 Å, c = 5.5024 Å
α = 60.00°, β = 60.00°, γ = 60.00°
Sites, in units of the cell vectors:
Cd 0.3746 0.8762 0.3746
Cd 0.3746 0.3746 0.8762
Cd 0.8762 0.3746 0.3746
Cd 0.3746 0.3746 0.3746
Pt 0.0000 0.0000 0.0000
Hg 0.7500 0.7500 0.7500

11.
CdHgPt2: relaxed, PBEsol.

Calculated values
Space group: Cmmm (65)

a = 2.9592 Å, b = 4.8713 Å, c = 4.8713 Å
α = 105.40°, β = 90.00°, γ = 90.00°
Sites, in units of the cell vectors:
Pt 0.0000 0.0000 0.5000
Pt 0.0000 0.5000 0.0000
Hg 0.5000 0.5000 0.5000
Cd 0.5000 0.0000 0.0000

12.
CdHg2Pt: relaxed, PBEsol.

Calculated values
Space group: I-4m2 (119)

a = 4.1205 Å, b = 4.1205 Å, c = 5.2608 Å
α = 113.06°, β = 113.06°, γ = 90.00°
Sites, in units of the cell vectors:
Hg 0.7500 0.2500 0.5000
Hg 0.0000 0.0000 0.0000
Pt 0.5000 0.5000 0.0000
Cd 0.2500 0.7500 0.5000

13.
CdHgPt2: relaxed, PBEsol.

Calculated values
Space group: Imm2 (44)

a = 2.9197 Å, b = 4.7766 Å, c = 5.7004 Å
α = 114.77°, β = 104.84°, γ = 90.00°
Sites, in units of the cell vectors:
Pt 0.7424 0.2424 0.4848
Pt 0.0087 0.0087 0.0174
Hg 0.2615 0.7615 0.5229
Cd 0.4874 0.4874 0.9748

14.
CdHgPt2: relaxed, PBEsol.

Calculated values
Space group: Pmm2 (25)

a = 2.9445 Å, b = 4.7297 Å, c = 4.8771 Å
α = 90.00°, β = 90.00°, γ = 90.00°
Sites, in units of the cell vectors:
Pt 0.0000 0.0000 0.0622
Pt 0.0000 0.5000 0.6864
Hg 0.5000 0.5000 0.1804
Cd 0.5000 0.0000 0.5710

15.
CdHgPt2: relaxed, PBEsol.

Calculated values
Space group: Pmmm (47)

a = 2.9531 Å, b = 3.8925 Å, c = 5.8899 Å
α = 90.00°, β = 90.00°, γ = 90.00°
Sites, in units of the cell vectors:
Hg 0.5000 0.5000 0.5000
Pt 0.0000 0.0000 0.7533
Pt 0.0000 0.0000 0.2467
Cd 0.5000 0.5000 0.0000

16.
CdHgPt: relaxed, PBEsol.

Calculated values
Space group: I4mm (107)

a = 2.9779 Å, b = 2.9779 Å, c = 6.5283 Å
α = 103.18°, β = 103.18°, γ = 90.00°
Sites, in units of the cell vectors:
Hg 0.6754 0.6754 0.3507
Cd 0.9878 0.9878 0.9755
Pt 0.3369 0.3369 0.6738

17.
CdHgPt2: relaxed, PBEsol.

Calculated values
Space group: I4/mmm (139)

a = 4.1705 Å, b = 4.1705 Å, c = 4.8817 Å
α = 115.29°, β = 115.29°, γ = 90.00°
Sites, in units of the cell vectors:
Pt 0.2500 0.7500 0.5000
Pt 0.7500 0.2500 0.5000
Hg 0.0000 0.0000 0.0000
Cd 0.5000 0.5000 0.0000

18.
PuCdHg2: relaxed, PBEsol.

Calculated values
Space group: Fm-3m (225)

a = 5.0415 Å, b = 5.0415 Å, c = 5.0415 Å
α = 60.00°, β = 60.00°, γ = 60.00°
Sites, in units of the cell vectors:
Hg 0.2500 0.2500 0.2500
Hg 0.7500 0.7500 0.7500
Cd 0.0000 0.0000 0.0000
Pu 0.5000 0.5000 0.5000

19.
Rb2CdHg: relaxed, PBEsol.

Calculated values
Space group: Fm-3m (225)

a = 6.1061 Å, b = 6.1061 Å, c = 6.1061 Å
α = 60.00°, β = 60.00°, γ = 60.00°
Sites, in units of the cell vectors:
Rb 0.7500 0.7500 0.7500
Rb 0.2500 0.2500 0.2500
Hg 0.5000 0.5000 0.5000
Cd 0.0000 0.0000 0.0000

20.
RbCdHg3: relaxed, PBEsol.

Calculated values
Space group: Pm-3m (221)

a = 5.5470 Å, b = 5.5470 Å, c = 5.5470 Å
α = 90.00°, β = 90.00°, γ = 90.00°
Sites, in units of the cell vectors:
Hg 0.0000 0.0000 0.5000
Hg 0.0000 0.5000 0.0000
Hg 0.5000 0.0000 0.0000
Rb 0.5000 0.5000 0.5000
Cd 0.0000 0.0000 0.0000

21.
Rb2Cd2Hg: relaxed, PBEsol.

Calculated values
Space group: P4/mbm (127)

a = 5.7456 Å, b = 7.7932 Å, c = 7.7932 Å
α = 90.00°, β = 90.00°, γ = 90.00°
Sites, in units of the cell vectors:
Rb 0.5000 0.3203 0.1797
Rb 0.5000 0.8203 0.3203
Rb 0.5000 0.6797 0.8203
Rb 0.5000 0.1797 0.6797
Cd 0.0000 0.3666 0.8666
Cd 0.0000 0.1334 0.3666
Cd 0.0000 0.6334 0.1334
Cd 0.0000 0.8666 0.6334
Hg 0.0000 0.0000 0.0000
Hg 0.0000 0.5000 0.5000

22.
Rb2Cd2Hg: relaxed, PBEsol.

Calculated values
Space group: I4/mmm (139)

a = 4.1598 Å, b = 4.1598 Å, c = 11.0898 Å
α = 100.81°, β = 100.81°, γ = 90.00°
Sites, in units of the cell vectors:
Hg 0.0000 0.0000 0.0000
Cd 0.2500 0.7500 0.5000
Cd 0.7500 0.2500 0.5000
Rb 0.3945 0.3945 0.7891
Rb 0.6055 0.6055 0.2109

23.
RbCdHgRh2: relaxed, PBEsol.

Calculated values
Space group: P4/mmm (123)

a = 5.0192 Å, b = 5.0192 Å, c = 5.7462 Å
α = 90.00°, β = 90.00°, γ = 90.00°
Sites, in units of the cell vectors:
Rh 0.0000 0.5000 0.0000
Rh 0.5000 0.0000 0.0000
Hg 0.0000 0.0000 0.0000
Rb 0.0000 0.0000 0.5000
Cd 0.5000 0.5000 0.5000

24.
CdRe2Hg: relaxed, PBEsol.

Calculated values
Space group: Cm (8)

a = 2.8204 Å, b = 4.8022 Å, c = 5.2340 Å
α = 97.04°, β = 90.00°, γ = 107.08°
Sites, in units of the cell vectors:
Hg 0.7471 0.4942 0.2617
Re 0.9964 0.9928 0.9619
Re 0.2542 0.5085 0.7863
Cd 0.5023 0.0045 0.4901

25.
Cd3ReHg: relaxed, PBEsol.

Calculated values
Space group: Pm-3m (221)

a = 5.2532 Å, b = 5.2532 Å, c = 5.2532 Å
α = 90.00°, β = 90.00°, γ = 90.00°
Sites, in units of the cell vectors:
Hg 0.5000 0.5000 0.5000
Cd 0.5000 0.0000 0.0000
Cd 0.0000 0.5000 0.0000
Cd 0.0000 0.0000 0.5000
Re 0.0000 0.0000 0.0000

26.
CdRe2Hg: relaxed, PBEsol.

Calculated values
Space group: Pmmm (47)

a = 2.8068 Å, b = 4.4615 Å, c = 5.5025 Å
α = 90.00°, β = 90.00°, γ = 90.00°
Sites, in units of the cell vectors:
Cd 0.5000 0.5000 0.0000
Hg 0.5000 0.5000 0.5000
Re 0.0000 0.0000 0.7826
Re 0.0000 0.0000 0.2174

27.
CdRe2Hg: relaxed, PBEsol.

Calculated values
Space group: P4/mmm (123)

a = 3.2003 Å, b = 3.2003 Å, c = 6.4195 Å
α = 90.00°, β = 90.00°, γ = 90.00°
Sites, in units of the cell vectors:
Re 0.0000 0.0000 0.2522
Re 0.0000 0.0000 0.7478
Hg 0.5000 0.5000 0.5000
Cd 0.5000 0.5000 0.0000

28.
Cd2ReHg: relaxed, PBEsol.

Calculated values
Space group: Cmmm (65)

a = 2.8804 Å, b = 5.2040 Å, c = 5.2040 Å
α = 112.23°, β = 90.00°, γ = 90.00°
Sites, in units of the cell vectors:
Re 0.5000 0.0000 0.0000
Cd 0.0000 0.5000 0.0000
Cd 0.0000 0.0000 0.5000
Hg 0.5000 0.5000 0.5000

29.
CdRe2Hg: relaxed, PBEsol.

Calculated values
Space group: R-3m (166)

a = 2.8362 Å, b = 2.8362 Å, c = 9.6918 Å
α = 81.59°, β = 81.59°, γ = 60.00°
Sites, in units of the cell vectors:
Re 0.2500 0.2500 0.2500
Re 0.7500 0.7500 0.7500
Hg 0.0000 0.0000 0.0000
Cd 0.5000 0.5000 0.5000

Total DFT energy (no corrections) values (in eV/atom) by entry order: -1.250, -2.409, -1.958, -2.387, -3.047, -3.734, -3.444, -3.460, -2.967, -1.890, -4.084, -2.352, -3.992, -4.051, -4.086, -2.982, -4.090, -4.414, -0.948, -0.836, -1.015, -1.015, -2.578, -6.436, -2.367, -6.205, -5.960, -3.591, -6.344.
ΔH_f (0 K) values (in eV per atom) by entry order: 0.3816, 0.0310, 0.1073, 0.0535, -0.1974, -0.3139, -0.4345, -0.4269, -0.0580, 0.1635, -0.1610, -0.0288, -0.0693, -0.1283, -0.1629, -0.0726, -0.1672, -0.0427, 0.0053, -0.0510, -0.0132, -0.0132, 1.2348, 0.6710, 1.1313, 0.9024, 1.1466, 0.4825, 0.7633.
DOS(E_F) values (in states/eV per cell) by entry order: 2.9, 1.7, 4.2, 2.1, 4.1, 1.7, 4.7, 4.9, 0.9, 1.5, 1.1, 1.1, 1.8, 1.1, 1.2, 1.2, 1.1, 14.2, 3.9, 1.9, 5.4, 2.3, 7.6, 2.7, 4.6, 4.1, 2.5, 1.9, 3.7.